No. 1
This record from Alexandria via LeMat-Bulk describes an optimized crystal structure of Na2ScCoAs. The functional is PBE-GGA.

The calculation puts the formation energy from the elements at 0.975 eV/atom.

The space group is P4/mmm (No. 123) and the conventional cell measures 6.061, 6.061 and 4.906 Å, with angles of 90.00, 90.00 and 90.00 degrees. The inequivalent atoms are Na at (0.000, 0.500, 0.000), Sc at (0.000, 0.000, 0.000), Co at (0.500, 0.500, 0.500) and As at (0.000, 0.000, 0.500).

=====

No. 2
This record from Alexandria via LeMat-Bulk describes an optimized crystal structure of NaCoAs2Se. The functional is PBE-GGA.

The value obtained for the excess energy over the best structure of this formula in the dataset is 0.0000 eV/atom. For the formation energy (no corrections), the calculation gives -0.017 eV per atom.

The space group is P4/mmm (No. 123) and the conventional cell measures 4.452, 4.452 and 5.480 Å, with angles of 90.00, 90.00 and 90.00 degrees. The inequivalent atoms are Na at (0.000, 0.000, 0.000), Co at (0.500, 0.500, 0.500), As at (0.000, 0.500, 0.500) and Se at (0.500, 0.500, 0.000).

=====

No. 3
This record from Alexandria via LeMat-Bulk describes an optimized crystal structure of NaCoAs2Se. The functional is PBE-GGA.

The value obtained for the excess energy over the best structure of this formula in the dataset is 1.5124 eV/atom. For the formation energy (no corrections), the calculation gives 1.495 eV per atom.

The space group is P4/mmm (No. 123) and the conventional cell measures 4.913, 4.913 and 4.959 Å, with angles of 90.00, 90.00 and 90.00 degrees. The inequivalent atoms are Na at (0.000, 0.000, 0.000), Co at (0.500, 0.500, 0.500), As at (0.000, 0.500, 0.000) and Se at (0.000, 0.000, 0.500).

=====

No. 4
This record from Alexandria via LeMat-Bulk describes an optimized crystal structure of NaCo2SnAs. The functional is PBE-GGA.

The calculation puts the formation energy from the elements at 0.522 eV/atom.

The space group is P4/mmm (No. 123) and the conventional cell measures 4.476, 4.476 and 5.550 Å, with angles of 90.00, 90.00 and 90.00 degrees. The inequivalent atoms are Na at (0.000, 0.000, 0.000), Co at (0.000, 0.500, 0.500), Sn at (0.500, 0.500, 0.000) and As at (0.500, 0.500, 0.500).

=====

No. 5
This record from Alexandria via LeMat-Bulk describes an optimized crystal structure of NaZnCoAs2. The functional is PBE-GGA.

The calculation puts the formation energy from the elements at 1.358 eV/atom.

The space group is P4/mmm (No. 123) and the conventional cell measures 4.939, 4.939 and 4.623 Å, with angles of 90.00, 90.00 and 90.00 degrees. The inequivalent atoms are Na at (0.000, 0.000, 0.000), Zn at (0.500, 0.500, 0.500), Co at (0.000, 0.000, 0.500) and As at (0.000, 0.500, 0.000).

=====

No. 6
This record from Alexandria via LeMat-Bulk describes an optimized crystal structure of NaZnCoAs. The functional is PBE-GGA.

The calculation puts the formation energy from the elements at -0.202 eV/atom.

The space group is P4/nmm (No. 129, origin choice 2) and the conventional cell measures 3.732, 3.732 and 11.183 Å, with angles of 90.00, 90.00 and 90.00 degrees. The inequivalent atoms are Na at (0.250, 0.250, 0.242), Zn at (0.250, 0.750, 0.000), Co at (0.250, 0.750, 0.500) and As at (0.250, 0.250, 0.623).

=====

No. 7
This record from Alexandria via LeMat-Bulk describes an optimized crystal structure of Na2ZnCoAs. The functional is PBE-GGA.

The calculation puts the formation energy from the elements at 0.215 eV/atom.

The space group is P4/mmm (No. 123) and the conventional cell measures 5.521, 5.521 and 4.301 Å, with angles of 90.00, 90.00 and 90.00 degrees. The inequivalent atoms are Na at (0.000, 0.500, 0.000), Zn at (0.000, 0.000, 0.500), Co at (0.500, 0.500, 0.000) and As at (0.500, 0.500, 0.500).

=====

No. 8
This record from Alexandria via LeMat-Bulk describes an optimized crystal structure of Nb2Co2As. The functional is PBE-GGA.

The calculation puts the formation energy from the elements at -0.136 eV/atom.

The space group is P4/mbm (No. 127) and the conventional cell measures 6.501, 6.501 and 3.449 Å, with angles of 90.00, 90.00 and 90.00 degrees. The inequivalent atoms are Nb at (0.173, 0.327, 0.000), Co at (0.130, 0.630, 0.500) and As at (0.000, 0.000, 0.500).

=====

No. 9
This record from Alexandria via LeMat-Bulk describes an optimized crystal structure of Nb3CoAs. The functional is PBE-GGA.

The calculation puts the formation energy from the elements at 0.612 eV/atom. The value obtained for the excess energy over the best structure of this formula in the dataset is 0.0000 eV/atom.

The space group is Pm-3m (No. 221) and the conventional cell measures 4.588, 4.588 and 4.588 Å, with angles of 90.00, 90.00 and 90.00 degrees. The inequivalent atoms are Nb at (0.000, 0.000, 0.500), Co at (0.000, 0.000, 0.000) and As at (0.500, 0.500, 0.500).

=====

No. 10
This record from Alexandria via LeMat-Bulk describes an optimized crystal structure of Nb2CoAs2. The functional is PBE-GGA.

The calculation puts the formation energy from the elements at -0.216 eV/atom.

The space group is P4/mbm (No. 127) and the conventional cell measures 6.779, 6.779 and 3.510 Å, with angles of 90.00, 90.00 and 90.00 degrees. The inequivalent atoms are Nb at (0.151, 0.349, 0.000), Co at (0.000, 0.000, 0.500) and As at (0.153, 0.653, 0.500).

=====

No. 11
This record from Alexandria via LeMat-Bulk describes an optimized crystal structure of NbCoAs3. The functional is PBE-GGA.

The calculation puts the formation energy from the elements at 0.847 eV/atom. The value obtained for the excess energy over the best structure of this formula in the dataset is 0.2648 eV/atom.

The space group is Pm-3m (No. 221) and the conventional cell measures 4.971, 4.971 and 4.971 Å, with angles of 90.00, 90.00 and 90.00 degrees. The inequivalent atoms are Nb at (0.000, 0.000, 0.000), Co at (0.500, 0.500, 0.500) and As at (0.000, 0.000, 0.500).

=====

No. 12
This record from Alexandria via LeMat-Bulk describes an optimized crystal structure of NbCo2As2. The functional is PBE-GGA.

The calculation puts the formation energy from the elements at -0.148 eV/atom.

The space group is P4/mbm (No. 127) and the conventional cell measures 7.008, 7.008 and 2.822 Å, with angles of 90.00, 90.00 and 90.00 degrees. The inequivalent atoms are Nb at (0.000, 0.000, 0.000), Co at (0.140, 0.360, 0.500) and As at (0.153, 0.653, 0.000).

=====

no.,calculated density (g/cm³),magnetic moment (μB per formula unit)
1,2.07,2.54
2,4.75,0.00
3,4.31,0.06
4,4.99,2.63
5,4.38,1.90
6,4.74,0.00
7,3.11,0.57
8,8.63,0.00
9,7.09,0.00
10,8.13,1.15
11,5.09,2.32
12,8.64,0.94